a) A plane-wave DFT calculation with PBE was carried out for crystalline YReMo at its relaxed geometry.

The structure in CIF format:
```
data_YReMo
_cell_length_a 3.227
_cell_length_b 3.227
_cell_length_c 10.985
_cell_angle_alpha 90.00
_cell_angle_beta 90.00
_cell_angle_gamma 90.00
_symmetry_space_group_name_H-M 'I 4 m m'
_symmetry_Int_Tables_number 107
_symmetry_space_group_name_Hall 'I 4 -2'
loop_
_atom_site_label
_atom_site_type_symbol
_atom_site_fract_x
_atom_site_fract_y
_atom_site_fract_z
_atom_site_occupancy
Y1 Y 0.000 0.000 0.000 1
Re1 Re 0.000 0.000 0.313 1
Mo1 Mo 0.000 0.000 0.691 1
```

Values from the calculation:
**Crystal system**: tetragonal
**Fermi-level density of states**: 3.28 states/eV per cell



b) A plane-wave DFT calculation with PBE was carried out for crystalline YReMo at its relaxed geometry.

The structure in CIF format:
```
data_YReMo
_cell_length_a 6.367
_cell_length_b 6.367
_cell_length_c 6.367
_cell_angle_alpha 90.00
_cell_angle_beta 90.00
_cell_angle_gamma 90.00
_symmetry_space_group_name_H-M 'F -4 3 m'
_symmetry_Int_Tables_number 216
_symmetry_space_group_name_Hall 'F -4 2 3'
loop_
_atom_site_label
_atom_site_type_symbol
_atom_site_fract_x
_atom_site_fract_y
_atom_site_fract_z
_atom_site_occupancy
Y1 Y 0.000 0.000 0.000 1
Re1 Re 0.250 0.250 0.750 1
Mo1 Mo 0.000 0.000 0.500 1
```

Values from the calculation:
**Crystal system**: cubic
**Fermi-level density of states**: 13.54 states/eV per cell



c) A plane-wave DFT calculation with PBE was carried out for crystalline YReMo at its relaxed geometry.

The structure in CIF format:
```
data_YReMo
_cell_length_a 5.448
_cell_length_b 5.505
_cell_length_c 7.733
_cell_angle_alpha 90.00
_cell_angle_beta 90.00
_cell_angle_gamma 90.00
_symmetry_space_group_name_H-M 'I m m a'
_symmetry_Int_Tables_number 74
_symmetry_space_group_name_Hall '-I 2b 2'
loop_
_atom_site_label
_atom_site_type_symbol
_atom_site_fract_x
_atom_site_fract_y
_atom_site_fract_z
_atom_site_occupancy
Y1 Y 0.000 0.250 0.123 1
Re1 Re 0.250 0.250 0.750 1
Mo1 Mo 0.000 0.000 0.500 1
```

Values from the calculation:
**Crystal system**: orthorhombic
**Fermi-level density of states**: 9.66 states/eV per cell



c) ends up most stable, edging out the next structure by 208 meV per atom.



a) A plane-wave DFT calculation with PBE was carried out for crystalline YReMo2 at its relaxed geometry.

The structure in CIF format:
```
data_YReMo2
_cell_length_a 3.254
_cell_length_b 4.647
_cell_length_c 4.665
_cell_angle_alpha 90.00
_cell_angle_beta 90.00
_cell_angle_gamma 90.00
_symmetry_space_group_name_H-M 'P m m m'
_symmetry_Int_Tables_number 47
loop_
_symmetry_equiv_pos_as_xyz
'x,y,z'
'-x,-y,-z'
'-x,-y,z'
'x,y,-z'
'x,-y,-z'
'-x,y,z'
'-x,y,-z'
'x,-y,z'
loop_
_atom_site_label
_atom_site_type_symbol
_atom_site_fract_x
_atom_site_fract_y
_atom_site_fract_z
_atom_site_occupancy
Y1 Y 0.000 0.000 0.000 1
Re1 Re 0.500 0.000 0.500 1
Mo1 Mo 0.000 0.500 0.500 1
Mo2 Mo 0.500 0.500 0.000 1
```

Values from the calculation:
**Crystal system**: orthorhombic
**Fermi-level density of states**: 3.47 states/eV per cell



b) A plane-wave DFT calculation with PBE was carried out for crystalline YReMo2 at its relaxed geometry.

The structure in CIF format:
```
data_YReMo2
_cell_length_a 6.524
_cell_length_b 6.524
_cell_length_c 6.524
_cell_angle_alpha 90.00
_cell_angle_beta 90.00
_cell_angle_gamma 90.00
_symmetry_space_group_name_H-M 'F m -3 m'
_symmetry_Int_Tables_number 225
_symmetry_space_group_name_Hall '-F 4 2 3'
loop_
_atom_site_label
_atom_site_type_symbol
_atom_site_fract_x
_atom_site_fract_y
_atom_site_fract_z
_atom_site_occupancy
Y1 Y 0.000 0.000 0.000 1
Re1 Re 0.000 0.000 0.500 1
Mo1 Mo 0.250 0.250 0.250 1
```

Values from the calculation:
**Crystal system**: cubic
**Fermi-level density of states**: 15.49 states/eV per cell



c) A plane-wave DFT calculation with PBE was carried out for crystalline YReMo2 at its relaxed geometry.

The structure in CIF format:
```
data_YReMo2
_cell_length_a 2.9590
_cell_length_b 2.9590
_cell_length_c 28.5478
_cell_angle_alpha 90.00
_cell_angle_beta 90.00
_cell_angle_gamma 120.00
_symmetry_space_group_name_H-M 'R -3 m'
_symmetry_Int_Tables_number 166
_symmetry_space_group_name_Hall '-R 3 2"'
loop_
_atom_site_label
_atom_site_type_symbol
_atom_site_fract_x
_atom_site_fract_y
_atom_site_fract_z
_atom_site_occupancy
Y1 Y 0.0000 0.0000 0.0000 1
Re1 Re 0.0000 0.0000 0.5000 1
Mo1 Mo 0.0000 0.0000 0.2412 1
```

Values from the calculation:
**Crystal system**: trigonal
**Fermi-level density of states**: 17.04 states/eV per cell



b) ends up most stable, edging out the next structure by 110 meV per atom.



a) A plane-wave DFT calculation with PBE was carried out for crystalline YReMo2 at its relaxed geometry.

The structure in CIF format:
```
data_YReMo2
_cell_length_a 3.235
_cell_length_b 4.767
_cell_length_c 9.242
_cell_angle_alpha 90.00
_cell_angle_beta 90.00
_cell_angle_gamma 90.00
_symmetry_space_group_name_H-M 'I m m 2'
_symmetry_Int_Tables_number 44
loop_
_symmetry_equiv_pos_as_xyz
'x,y,z'
'-x,-y,z'
'-x,y,z'
'x,-y,z'
'x+1/2,y+1/2,z+1/2'
'-x+1/2,-y+1/2,z+1/2'
'-x+1/2,y+1/2,z+1/2'
'x+1/2,-y+1/2,z+1/2'
loop_
_atom_site_label
_atom_site_type_symbol
_atom_site_fract_x
_atom_site_fract_y
_atom_site_fract_z
_atom_site_occupancy
Y1 Y 0.000 0.000 0.000 1
Re1 Re 0.000 0.500 0.233 1
Mo1 Mo 0.000 0.000 0.502 1
Mo2 Mo 0.000 0.500 0.767 1
```

Values from the calculation:
**Crystal system**: orthorhombic
**Fermi-level density of states**: 5.60 states/eV per cell



b) A plane-wave DFT calculation with PBE was carried out for crystalline YReMo2 at its relaxed geometry.

The structure in CIF format:
```
data_YReMo2
_cell_length_a 4.652
_cell_length_b 4.652
_cell_length_c 3.231
_cell_angle_alpha 90.00
_cell_angle_beta 90.00
_cell_angle_gamma 90.00
_symmetry_space_group_name_H-M 'P 4/m m m'
_symmetry_Int_Tables_number 123
_symmetry_space_group_name_Hall '-P 4 2'
loop_
_atom_site_label
_atom_site_type_symbol
_atom_site_fract_x
_atom_site_fract_y
_atom_site_fract_z
_atom_site_occupancy
Y1 Y 0.000 0.000 0.000 1
Re1 Re 0.500 0.500 0.000 1
Mo1 Mo 0.000 0.500 0.500 1
```

Values from the calculation:
**Crystal system**: tetragonal
**Fermi-level density of states**: 3.37 states/eV per cell



c) A plane-wave DFT calculation with PBE was carried out for crystalline YReMo2 at its relaxed geometry.

The structure in CIF format:
```
data_YReMo2
_cell_length_a 3.900
_cell_length_b 3.900
_cell_length_c 4.774
_cell_angle_alpha 90.00
_cell_angle_beta 90.00
_cell_angle_gamma 90.00
_symmetry_space_group_name_H-M 'P 4/m m m'
_symmetry_Int_Tables_number 123
_symmetry_space_group_name_Hall '-P 4 2'
loop_
_atom_site_label
_atom_site_type_symbol
_atom_site_fract_x
_atom_site_fract_y
_atom_site_fract_z
_atom_site_occupancy
Y1 Y 0.000 0.000 0.000 1
Re1 Re 0.500 0.500 0.000 1
Mo1 Mo 0.000 0.500 0.500 1
```

Values from the calculation:
**Crystal system**: tetragonal
**Fermi-level density of states**: 3.24 states/eV per cell



d) A plane-wave DFT calculation with PBE was carried out for crystalline YReMo2 at its relaxed geometry.

The structure in CIF format:
```
data_YReMo2
_cell_length_a 5.468
_cell_length_b 9.592
_cell_length_c 2.733
_cell_angle_alpha 90.00
_cell_angle_beta 90.00
_cell_angle_gamma 90.00
_symmetry_space_group_name_H-M 'C m m m'
_symmetry_Int_Tables_number 65
_symmetry_space_group_name_Hall '-C 2 2'
loop_
_atom_site_label
_atom_site_type_symbol
_atom_site_fract_x
_atom_site_fract_y
_atom_site_fract_z
_atom_site_occupancy
Y1 Y 0.000 0.000 0.000 1
Re1 Re 0.000 0.500 0.000 1
Mo1 Mo 0.250 0.250 0.500 1
```

Values from the calculation:
**Crystal system**: orthorhombic
**Fermi-level density of states**: 7.86 states/eV per cell



a) ends up most stable, edging out the next structure by 101 meV per atom.



a) A plane-wave DFT calculation with PBE was carried out for crystalline YReMo2 at its relaxed geometry.

The structure in CIF format:
```
data_YReMo2
_cell_length_a 3.0756
_cell_length_b 3.0756
_cell_length_c 26.8393
_cell_angle_alpha 90.00
_cell_angle_beta 90.00
_cell_angle_gamma 120.00
_symmetry_space_group_name_H-M 'R 3 m'
_symmetry_Int_Tables_number 160
_symmetry_space_group_name_Hall 'R 3 -2"'
loop_
_atom_site_label
_atom_site_type_symbol
_atom_site_fract_x
_atom_site_fract_y
_atom_site_fract_z
_atom_site_occupancy
Y1 Y 0.0000 0.0000 0.0000 1
Re1 Re 0.0000 0.0000 0.7589 1
Mo1 Mo 0.0000 0.0000 0.2391 1
Mo2 Mo 0.0000 0.0000 0.4999 1
```

Values from the calculation:
**Crystal system**: trigonal
**Fermi-level density of states**: 14.07 states/eV per cell



b) A plane-wave DFT calculation with PBE was carried out for crystalline YReMo2 at its relaxed geometry.

The structure in CIF format:
```
data_YReMo2
_cell_length_a 5.646
_cell_length_b 9.242
_cell_length_c 2.838
_cell_angle_alpha 90.00
_cell_angle_beta 108.92
_cell_angle_gamma 90.00
_symmetry_space_group_name_H-M 'C 1 2/m 1'
_symmetry_Int_Tables_number 12
loop_
_symmetry_equiv_pos_as_xyz
'x,y,z'
'-x,-y,-z'
'-x,y,-z'
'x,-y,z'
'x+1/2,y+1/2,z'
'-x+1/2,-y+1/2,-z'
'-x+1/2,y+1/2,-z'
'x+1/2,-y+1/2,z'
loop_
_atom_site_label
_atom_site_type_symbol
_atom_site_fract_x
_atom_site_fract_y
_atom_site_fract_z
_atom_site_occupancy
Y1 Y 0.000 0.000 0.000 1
Re1 Re 0.000 0.500 0.000 1
Mo1 Mo 0.250 0.250 0.500 1
```

Values from the calculation:
**Crystal system**: monoclinic
**Fermi-level density of states**: 6.60 states/eV per cell



b) ends up most stable, edging out the next structure by 143 meV per atom.



a) A plane-wave DFT calculation with PBE was carried out for crystalline YReMo2 at its relaxed geometry.

The structure in CIF format:
```
data_YReMo2
_cell_length_a 3.246
_cell_length_b 4.745
_cell_length_c 9.324
_cell_angle_alpha 90.00
_cell_angle_beta 90.00
_cell_angle_gamma 90.00
_symmetry_space_group_name_H-M 'I m m m'
_symmetry_Int_Tables_number 71
_symmetry_space_group_name_Hall '-I 2 2'
loop_
_atom_site_label
_atom_site_type_symbol
_atom_site_fract_x
_atom_site_fract_y
_atom_site_fract_z
_atom_site_occupancy
Y1 Y 0.000 0.000 0.000 1
Re1 Re 0.000 0.000 0.500 1
Mo1 Mo 0.000 0.500 0.232 1
```

Values from the calculation:
**Crystal system**: orthorhombic
**Fermi-level density of states**: 4.50 states/eV per cell



b) A plane-wave DFT calculation with PBE was carried out for crystalline YReMo2 at its relaxed geometry.

The structure in CIF format:
```
data_YReMo2
_cell_length_a 7.527
_cell_length_b 7.527
_cell_length_c 5.694
_cell_angle_alpha 90.00
_cell_angle_beta 90.00
_cell_angle_gamma 90.00
_symmetry_space_group_name_H-M 'I -4 2 d'
_symmetry_Int_Tables_number 122
_symmetry_space_group_name_Hall 'I -4 2bw'
loop_
_atom_site_label
_atom_site_type_symbol
_atom_site_fract_x
_atom_site_fract_y
_atom_site_fract_z
_atom_site_occupancy
Y1 Y 0.000 0.000 0.000 1
Re1 Re 0.000 0.000 0.500 1
Mo1 Mo 0.199 0.250 0.625 1
```

Values from the calculation:
**Crystal system**: tetragonal
**Fermi-level density of states**: 12.42 states/eV per cell



a) ends up most stable, edging out the next structure by 419 meV per atom.